Entry 1:
KAgSe2: relaxed, PBE-GGA.

Properties
- total DFT energy (no corrections) (eV/f.u.) = -12.11
- space-group type = R-3m, No. 166
- ΔE_f (raw) (eV/atom) = -0.297
- V (Å³/cell) = 326.2

Cell and atoms, written as POSCAR:
```
KAgSe2
1.0
4.134 0.000 0.000
-2.067 3.580 0.000
0.000 0.000 22.043
K Ag Se
3 3 6
Direct
0.000 0.000 0.000
0.333 0.667 0.667
0.667 0.333 0.333
0.000 0.000 0.500
0.333 0.667 0.167
0.667 0.333 0.833
0.000 0.000 0.227
0.000 0.000 0.773
0.333 0.667 0.439
0.333 0.667 0.894
0.667 0.333 0.106
0.667 0.333 0.561
```

Entry 2:
K2SiAgSe4: relaxed, PBE-GGA.

Properties
- total DFT energy (no corrections) (eV/f.u.) = -29.80
- space-group type = Fddd, No. 70
- ΔE_f (raw) (eV/atom) = -0.674
- V (Å³/cell) = 499.9

Cell and atoms, written as POSCAR:
```
K2SiAgSe4
1.0
0.000 6.927 11.106
3.249 0.000 11.106
3.249 6.927 0.000
K Si Ag Se
4 2 2 8
Direct
0.056 0.056 0.694
0.306 0.306 0.944
0.694 0.694 0.056
0.944 0.944 0.306
0.375 0.375 0.375
0.625 0.625 0.625
0.125 0.125 0.125
0.875 0.875 0.875
0.009 0.629 0.542
0.320 0.542 0.629
0.371 0.991 0.680
0.458 0.680 0.991
0.542 0.320 0.009
0.629 0.009 0.320
0.680 0.458 0.371
0.991 0.371 0.458
```

Entry 3:
KSiAg2Se4: relaxed, PBE-GGA.

Properties
- total DFT energy (no corrections) (eV/f.u.) = -30.05
- space-group type = I222, No. 23
- ΔE_f (raw) (eV/atom) = -0.485
- V (Å³/cell) = 418.7

Cell and atoms, written as POSCAR:
```
KSiAg2Se4
1.0
7.048 0.000 0.000
0.000 7.059 0.000
0.000 0.000 8.415
K Si Ag Se
2 2 4 8
Direct
0.000 0.000 0.000
0.500 0.500 0.500
0.000 0.000 0.500
0.500 0.500 0.000
0.000 0.500 0.246
0.000 0.500 0.754
0.500 0.000 0.254
0.500 0.000 0.746
0.192 0.192 0.650
0.192 0.808 0.350
0.308 0.308 0.150
0.308 0.692 0.850
0.692 0.308 0.850
0.692 0.692 0.150
0.808 0.192 0.350
0.808 0.808 0.650
```

Entry 4:
KSm3Ag2Se6: relaxed, PBE-GGA.

Properties
- total DFT energy (no corrections) (eV/f.u.) = -58.01
- space-group type = C2/m, No. 12
- ΔE_f (raw) (eV/atom) = -1.346
- V (Å³/cell) = 358.7

Cell and atoms, written as POSCAR:
```
KSm3Ag2Se6
1.0
10.041 -2.156 0.000
10.041 2.156 0.000
-2.715 0.000 8.286
K Sm Ag Se
1 3 2 6
Direct
0.000 0.000 0.000
0.000 0.000 0.500
0.333 0.333 0.189
0.667 0.667 0.811
0.287 0.287 0.756
0.713 0.713 0.244
0.155 0.155 0.576
0.174 0.174 0.063
0.483 0.483 0.265
0.517 0.517 0.735
0.826 0.826 0.937
0.845 0.845 0.424
```

Entry 5:
K2SmAg2Se4: relaxed, PBE-GGA.

Properties
- total DFT energy (no corrections) (eV/f.u.) = -35.70
- space-group type = C2/m, No. 12
- ΔE_f (raw) (eV/atom) = -1.016
- V (Å³/cell) = 251.1

Cell and atoms, written as POSCAR:
```
K2SmAg2Se4
1.0
7.826 -2.102 0.000
7.826 2.102 0.000
-2.701 0.000 7.634
K Sm Ag Se
2 1 2 4
Direct
0.130 0.130 0.064
0.870 0.870 0.936
0.000 0.000 0.500
0.321 0.321 0.515
0.679 0.679 0.485
0.200 0.200 0.701
0.488 0.488 0.746
0.512 0.512 0.254
0.800 0.800 0.299
```

Entry 6:
K3AgSn3Se8: relaxed, PBE-GGA.

Properties
- total DFT energy (no corrections) (eV/f.u.) = -56.11
- space-group type = P4/nbm, No. 125
- ΔE_f (raw) (eV/atom) = -0.672
- V (Å³/cell) = 942.4

Cell and atoms, written as POSCAR:
```
K3AgSn3Se8
1.0
8.311 0.000 0.000
0.000 8.311 0.000
0.000 0.000 13.645
K Ag Sn Se
6 2 6 16
Direct
0.250 0.250 0.000
0.250 0.250 0.275
0.250 0.250 0.725
0.750 0.750 0.000
0.750 0.750 0.275
0.750 0.750 0.725
0.250 0.750 0.000
0.750 0.250 0.000
0.250 0.750 0.240
0.250 0.750 0.500
0.250 0.750 0.760
0.750 0.250 0.240
0.750 0.250 0.500
0.750 0.250 0.760
0.072 0.572 0.138
0.072 0.928 0.862
0.086 0.586 0.626
0.086 0.914 0.374
0.414 0.586 0.374
0.414 0.914 0.626
0.428 0.572 0.862
0.428 0.928 0.138
0.572 0.072 0.862
0.572 0.428 0.138
0.586 0.086 0.374
0.586 0.414 0.626
0.914 0.086 0.626
0.914 0.414 0.374
0.928 0.072 0.138
0.928 0.428 0.862
```

Entry 7:
KAgSn2Se4: relaxed, PBE-GGA.

Properties
- total DFT energy (no corrections) (eV/f.u.) = -29.68
- space-group type = Cmcm, No. 63
- ΔE_f (raw) (eV/atom) = -0.474
- V (Å³/cell) = 448.2

Cell and atoms, written as POSCAR:
```
KAgSn2Se4
1.0
2.120 -6.867 0.000
2.120 6.867 0.000
0.000 0.000 15.391
K Ag Sn Se
2 2 4 8
Direct
0.115 0.885 0.750
0.885 0.115 0.250
0.174 0.826 0.250
0.826 0.174 0.750
0.371 0.629 0.562
0.371 0.629 0.938
0.629 0.371 0.062
0.629 0.371 0.438
0.000 0.000 0.000
0.000 0.000 0.500
0.264 0.736 0.098
0.264 0.736 0.402
0.434 0.566 0.750
0.566 0.434 0.250
0.736 0.264 0.598
0.736 0.264 0.902
```

Entry 8:
K2Ag2SnSe4: relaxed, PBE-GGA.

Properties
- total DFT energy (no corrections) (eV/f.u.) = -31.61
- space-group type = P2/c, No. 13
- ΔE_f (raw) (eV/atom) = -0.641
- V (Å³/cell) = 523.9

Cell and atoms, written as POSCAR:
```
K2Ag2SnSe4
1.0
7.667 0.000 0.000
0.000 5.962 0.000
-5.090 0.000 11.462
K Ag Sn Se
4 4 2 8
Direct
0.000 0.000 0.000
0.000 0.000 0.500
0.000 0.479 0.250
0.000 0.521 0.750
0.499 0.250 0.028
0.499 0.750 0.528
0.501 0.250 0.472
0.501 0.750 0.972
0.500 0.249 0.750
0.500 0.751 0.250
0.266 0.029 0.811
0.266 0.472 0.574
0.266 0.528 0.074
0.266 0.971 0.311
0.734 0.029 0.689
0.734 0.472 0.926
0.734 0.528 0.426
0.734 0.971 0.189
```

- Which formula does entry 3 have?
  KSiAg2Se4

Copy entry 8 word for word.
K2Ag2SnSe4: relaxed, PBE-GGA.

Properties
- total DFT energy (no corrections) (eV/f.u.) = -31.61
- space-group type = P2/c, No. 13
- ΔE_f (raw) (eV/atom) = -0.641
- V (Å³/cell) = 523.9

Cell and atoms, written as POSCAR:
```
K2Ag2SnSe4
1.0
7.667 0.000 0.000
0.000 5.962 0.000
-5.090 0.000 11.462
K Ag Sn Se
4 4 2 8
Direct
0.000 0.000 0.000
0.000 0.000 0.500
0.000 0.479 0.250
0.000 0.521 0.750
0.499 0.250 0.028
0.499 0.750 0.528
0.501 0.250 0.472
0.501 0.750 0.972
0.500 0.249 0.750
0.500 0.751 0.250
0.266 0.029 0.811
0.266 0.472 0.574
0.266 0.528 0.074
0.266 0.971 0.311
0.734 0.029 0.689
0.734 0.472 0.926
0.734 0.528 0.426
0.734 0.971 0.189
```

- The highest total DFT energy (no corrections) belongs to which entry?
  KAgSe2